# Ta3Re2 (PBE, relaxed)
data_Ta3Re2
_space_group_name_H-M_alt 'P 42/m n m'
_space_group_IT_number 136
_space_group_name_Hall '-P 4n 2n'
_cell_length_a 9.8801
_cell_length_b 9.8801
_cell_length_c 5.2323
_cell_angle_alpha 90.00
_cell_angle_beta 90.00
_cell_angle_gamma 90.00
loop_
_atom_site_label
_atom_site_type_symbol
_atom_site_fract_x
_atom_site_fract_y
_atom_site_fract_z
Ta1 Ta 0.0000 0.0000 0.0000
Ta2 Ta 0.0338 0.3653 0.5000
Ta3 Ta 0.1876 0.8124 0.2509
Re1 Re 0.0623 0.2581 0.0000
Re2 Re 0.0975 0.0975 0.5000
# Theoretical density = 17.9 Mg/m³
# E_form = -0.142 eV/atom
# Total magnetization = 0.00 μB/cell
# Distance to the lowest polymorph of the same formula = 0 meV per atom
# Total DFT energy (no corrections) = -12.223 eV per atom